1.
Cr2TcGeH | GGA-PBE | relaxed

Fermi-level density of states, states/eV/f.u.: 6.30
Calculated total energy, eV/atom: -7.430
Size of the total moment, μB/f.u.: 2.9

a b c (Å): 3.8024 3.8024 3.8575
angles (deg): 90.00 90.00 90.00
Closest atoms and distances in Å follow each position.
Space group P4/mmm (No. 123)
Unique sites:
Cr1 0.0000 0.5000 0.0000 x2  2 H 1.90
Tc1 0.0000 0.0000 0.5000 x1  2 H 1.93
Ge1 0.5000 0.5000 0.5000 x1  4 Tc 2.69, 8 Cr 2.71
H1 0.0000 0.0000 0.0000 x1  4 Cr 1.90, 2 Tc 1.93

---

2.
CrTcGe2H | GGA-PBE | relaxed

Fermi-level density of states, states/eV/f.u.: 3.68
Calculated total energy, eV/atom: -5.361
Size of the total moment, μB/f.u.: 1.6

a b c (Å): 4.6119 4.6119 4.4260
angles (deg): 90.00 90.00 90.00
Closest atoms and distances in Å follow each position.
Space group P4/mmm (No. 123)
Unique sites:
Cr1 0.0000 0.0000 0.0000 x1  2 Tc 2.21, 4 Ge 2.31
Tc1 0.0000 0.0000 0.5000 x1  2 Cr 2.21
Ge1 0.0000 0.5000 0.0000 x2  2 Cr 2.31
H1 0.5000 0.5000 0.5000 x1  8 Ge 3.20, 4 Tc 3.26

---

3.
CrGeTe2H | GGA-PBE | relaxed

Fermi-level density of states, states/eV/f.u.: 5.65
Calculated total energy, eV/atom: -3.969
Size of the total moment, μB/f.u.: 0.1

a b c (Å): 5.1598 5.1598 3.3947
angles (deg): 90.00 90.00 90.00
Closest atoms and distances in Å follow each position.
Space group P4/mmm (No. 123)
Unique sites:
Cr1 0.0000 0.0000 0.0000 x1  8 Te 3.09, 2 Cr 3.39
Ge1 0.5000 0.5000 0.0000 x1  2 H 1.70
Te1 0.0000 0.5000 0.5000 x2  2 H 2.58
H1 0.5000 0.5000 0.5000 x1  2 Ge 1.70

---

4.
TiCr2GeH | GGA-PBE | relaxed

Fermi-level density of states, states/eV/f.u.: 4.58
Calculated total energy, eV/atom: -7.181
Size of the total moment, μB/f.u.: 1.0

a b c (Å): 3.8046 3.8046 3.8275
angles (deg): 90.00 90.00 90.00
Closest atoms and distances in Å follow each position.
Space group P4/mmm (No. 123)
Unique sites:
Ti1 0.0000 0.0000 0.0000 x1  2 H 1.91
Cr1 0.0000 0.5000 0.5000 x2  2 H 1.90
Ge1 0.5000 0.5000 0.0000 x1  4 Ti 2.69, 8 Cr 2.70
H1 0.0000 0.0000 0.5000 x1  4 Cr 1.90, 2 Ti 1.91

---

5.
Ti2CrGeH | GGA-PBE | relaxed

Fermi-level density of states, states/eV/f.u.: 3.65
Calculated total energy, eV/atom: -7.037
Size of the total moment, μB/f.u.: 0.6

a b c (Å): 4.1012 4.1012 3.5868
angles (deg): 90.00 90.00 90.00
Closest atoms and distances in Å follow each position.
Space group P4/mmm (No. 123)
Unique sites:
Ti1 0.0000 0.5000 0.0000 x2  2 H 2.05
Cr1 0.0000 0.0000 0.5000 x1  2 H 1.79
Ge1 0.5000 0.5000 0.5000 x1  8 Ti 2.72, 4 Cr 2.90
H1 0.0000 0.0000 0.0000 x1  2 Cr 1.79

---

6.
V2CrGeH | GGA-PBE | relaxed

Fermi-level density of states, states/eV/f.u.: 2.34
Calculated total energy, eV/atom: -7.348
Size of the total moment, μB/f.u.: 0.6

a b c (Å): 3.8102 3.8102 3.7586
angles (deg): 90.00 90.00 90.00
Closest atoms and distances in Å follow each position.
Space group P4/mmm (No. 123)
Unique sites:
V1 0.0000 0.5000 0.0000 x2  2 H 1.91
Cr1 0.0000 0.0000 0.5000 x1  2 H 1.88
Ge1 0.5000 0.5000 0.5000 x1  8 V 2.68, 4 Cr 2.69
H1 0.0000 0.0000 0.0000 x1  2 Cr 1.88, 4 V 1.91

---

7.
VCr2GeH | GGA-PBE | relaxed

Fermi-level density of states, states/eV/f.u.: 2.79
Calculated total energy, eV/atom: -7.340
Size of the total moment, μB/f.u.: 1.9

a b c (Å): 3.7982 3.7982 3.6953
angles (deg): 90.00 90.00 90.00
Closest atoms and distances in Å follow each position.
Space group P4/mmm (No. 123)
Unique sites:
V1 0.0000 0.0000 0.0000 x1  2 H 1.85
Cr1 0.0000 0.5000 0.5000 x2  2 H 1.90
Ge1 0.5000 0.5000 0.0000 x1  8 Cr 2.65, 4 V 2.69
H1 0.0000 0.0000 0.5000 x1  2 V 1.85, 4 Cr 1.90

---

8.
Zr2CrGeH | GGA-PBE | relaxed

Fermi-level density of states, states/eV/f.u.: 2.43
Calculated total energy, eV/atom: -7.237
Size of the total moment, μB/f.u.: 0.8

a b c (Å): 4.4579 4.4579 3.6753
angles (deg): 90.00 90.00 90.00
Closest atoms and distances in Å follow each position.
Space group P4/mmm (No. 123)
Unique sites:
Zr1 0.0000 0.5000 0.0000 x2  2 H 2.23
Cr1 0.0000 0.0000 0.5000 x1  2 H 1.84
Ge1 0.5000 0.5000 0.5000 x1  8 Zr 2.89, 4 Cr 3.15
H1 0.0000 0.0000 0.0000 x1  2 Cr 1.84

---

9.
HfCrGe2 | GGA-PBE | relaxed

Fermi-level density of states, states/eV/f.u.: 2.91
Calculated total energy, eV/atom: -7.180
Size of the total moment, μB/f.u.: 0.3
Distance to the lowest polymorph of the same formula, meV/atom: 448
Calculated formation energy, eV/atom: 0.023

a b c (Å): 6.3462 6.3462 6.3462
angles (deg): 90.00 90.00 90.00
Closest atoms and distances in Å follow each position.
Space group Fm-3m (No. 225)
Unique sites:
Hf1 0.0000 0.0000 0.0000 x4  8 Ge 2.75
Cr1 0.0000 0.0000 0.5000 x4  8 Ge 2.75
Ge1 0.2500 0.2500 0.2500 x8  4 Cr 2.75, 4 Hf 2.75

---

10.
HfCrGe2 | GGA-PBE | relaxed

Fermi-level density of states, states/eV/f.u.: 3.08
Calculated total energy, eV/atom: -6.970
Size of the total moment, μB/f.u.: 1.7
Distance to the lowest polymorph of the same formula, meV/atom: 658
Calculated formation energy, eV/atom: 0.233

a b c (Å): 3.9296 3.9296 18.6762
angles (deg): 90.00 90.00 90.00
Closest atoms and distances in Å follow each position.
Space group I-42d (No. 122)
Unique sites:
Hf1 0.0000 0.0000 0.0000 x4  4 Ge 2.76, 4 Cr 2.78
Cr1 0.0000 0.0000 0.5000 x4  4 Ge 2.68, 4 Hf 2.78
Ge1 0.2210 0.2500 0.6250 x8  2 Ge 2.62, 2 Cr 2.68, 2 Hf 2.76

---

11.
HfCrGe | GGA-PBE | relaxed

Fermi-level density of states, states/eV/f.u.: 2.72
Calculated total energy, eV/atom: -7.849
Size of the total moment, μB/f.u.: 1.6
Calculated formation energy, eV/atom: 0.215

a b c (Å): 7.6001 8.7099 6.9428
angles (deg): 90.00 90.00 90.00
Closest atoms and distances in Å follow each position.
Space group Cmce (No. 64)
Unique sites:
Hf1 0.2006 0.0000 0.0000 x8  4 Cr 2.69-2.75, 2 Ge 3.01
Cr1 0.0000 0.0747 0.3153 x8  3 Ge 2.34-2.47
Ge1 0.0000 0.1986 0.6358 x8  3 Cr 2.34-2.47

---

12.
HfCr2Ge2 | GGA-PBE | relaxed

Fermi-level density of states, states/eV/f.u.: 4.79
Calculated total energy, eV/atom: -7.646
Size of the total moment, μB/f.u.: 0.0
Distance to the lowest polymorph of the same formula, meV/atom: 108
Calculated formation energy, eV/atom: 0.041

a b c (Å): 4.3867 4.3867 8.2663
angles (deg): 90.00 90.00 90.00
Closest atoms and distances in Å follow each position.
Space group I4/mmm (No. 139)
Unique sites:
Hf1 0.0000 0.0000 0.0000 x2  8 Ge 3.01, 10 Cr 3.17-3.25
Cr1 0.0000 0.0000 0.3837 x4  1 Cr 1.92
Ge1 0.0000 0.5000 0.2500 x4  4 Cr 2.46

---

13.
Hf2CrGe | GGA-PBE | relaxed

Fermi-level density of states, states/eV/f.u.: 5.33
Calculated total energy, eV/atom: -8.106
Size of the total moment, μB/f.u.: 0.0
Calculated formation energy, eV/atom: 0.431

a b c (Å): 7.2798 7.2798 5.6088
angles (deg): 90.00 90.00 90.00
Closest atoms and distances in Å follow each position.
Space group I-42d (No. 122)
Unique sites:
Hf1 0.2327 0.7500 0.1250 x8  2 Cr 2.58, 2 Ge 2.76, 2 Hf 2.82
Cr1 0.0000 0.0000 0.0000 x4  4 Hf 2.58, 2 Ge 2.80
Ge1 0.0000 0.0000 0.5000 x4  4 Hf 2.76, 2 Cr 2.80

---

14.
HfCrGe | GGA-PBE | relaxed

Fermi-level density of states, states/eV/f.u.: 2.28
Calculated total energy, eV/atom: -8.213
Size of the total moment, μB/f.u.: 0.0
Calculated formation energy, eV/atom: -0.148

a b c (Å): 3.2859 3.2859 8.8913
angles (deg): 90.00 90.00 90.00
Closest atoms and distances in Å follow each position.
Space group I4mm (No. 107)
Unique sites:
Hf1 0.0000 0.0000 0.0000 x2  5 Ge 2.76-2.87, 5 Cr 2.81-2.87
Cr1 0.0000 0.0000 0.3227 x2  4 Ge 2.61, 5 Hf 2.81-2.87
Ge1 0.0000 0.0000 0.6896 x2  4 Cr 2.61, 5 Hf 2.76-2.87